[1]
The following is a DFT calculation (GGA-PBE) of a relaxed K2TlH6Ir crystal.

The structure in CIF format:
```
data_K2TlH6Ir
_symmetry_space_group_name_H-M 'F m -3 m'
_symmetry_Int_Tables_number 225
_symmetry_space_group_name_Hall '-F 4 2 3'
_cell_length_a 8.206
_cell_length_b 8.206
_cell_length_c 8.206
_cell_angle_alpha 90.00
_cell_angle_beta 90.00
_cell_angle_gamma 90.00
loop_
_atom_site_label
_atom_site_fract_x
_atom_site_fract_y
_atom_site_fract_z
K1 0.250 0.250 0.250
Tl1 0.000 0.000 0.000
H1 0.000 0.000 0.293
Ir1 0.000 0.000 0.500
```

Calculated values
- crystal system = cubic
- total magnetization (Bohr magnetons per cell) = 0.0

---

[2]
The following is a DFT calculation (GGA-PBE) of a relaxed TmTaSn2O6 crystal.

The structure in CIF format:
```
data_TmTaSn2O6
_symmetry_space_group_name_H-M 'P -1'
_symmetry_Int_Tables_number 2
_symmetry_space_group_name_Hall '-P 1'
_cell_length_a 5.128
_cell_length_b 5.260
_cell_length_c 5.702
_cell_angle_alpha 84.64
_cell_angle_beta 89.97
_cell_angle_gamma 75.13
loop_
_atom_site_label
_atom_site_fract_x
_atom_site_fract_y
_atom_site_fract_z
Tm1 0.000 0.000 0.000
Ta1 0.500 0.500 0.000
Sn1 0.296 0.293 0.433
O1 0.252 0.265 0.051
O2 0.276 0.751 0.752
O3 0.291 0.695 0.257
```

Calculated values
- crystal system = triclinic
- total magnetization (Bohr magnetons per cell) = 0.0

---

[3]
The following is a DFT calculation (GGA-PBE) of a relaxed TbEr3C2Se2 crystal.

The structure in CIF format:
```
data_TbEr3C2Se2
_symmetry_space_group_name_H-M 'P 3 m 1'
_symmetry_Int_Tables_number 156
_symmetry_space_group_name_Hall 'P 3 -2"'
_cell_length_a 3.7354
_cell_length_b 3.7354
_cell_length_c 13.1902
_cell_angle_alpha 90.00
_cell_angle_beta 90.00
_cell_angle_gamma 120.00
loop_
_atom_site_label
_atom_site_fract_x
_atom_site_fract_y
_atom_site_fract_z
Tb1 0.0000 0.0000 0.0000
Er1 0.0000 0.0000 0.3014
Er2 0.3333 0.6667 0.4996
Er3 0.3333 0.6667 0.7985
C1 0.6667 0.3333 0.4006
C2 0.6667 0.3333 0.8979
Se1 0.0000 0.0000 0.6496
Se2 0.3333 0.6667 0.1534
```

Calculated values
- crystal system = trigonal
- total magnetization (Bohr magnetons per cell) = 0.0

---

[4]
The following is a DFT calculation (GGA-PBE) of a relaxed FeBiPdAu crystal.

The structure in CIF format:
```
data_FeBiPdAu
_symmetry_space_group_name_H-M 'F -4 3 m'
_symmetry_Int_Tables_number 216
_symmetry_space_group_name_Hall 'F -4 2 3'
_cell_length_a 6.629
_cell_length_b 6.629
_cell_length_c 6.629
_cell_angle_alpha 90.00
_cell_angle_beta 90.00
_cell_angle_gamma 90.00
loop_
_atom_site_label
_atom_site_fract_x
_atom_site_fract_y
_atom_site_fract_z
Fe1 0.000 0.000 0.000
Bi1 0.250 0.250 0.750
Pd1 0.000 0.000 0.500
Au1 0.250 0.250 0.250
```

Calculated values
- crystal system = cubic
- polymorph energy (0 for the lowest one) (meV/atom) = 0.0
- total magnetization (Bohr magnetons per cell) = 11.2

---

Number 1: total DFT energy (no corrections) -36.1 eV per formula unit. Number 2: total DFT energy (no corrections) -76.1 eV per formula unit. Number 3: total DFT energy (no corrections) -53.1 eV per formula unit. Number 4: total DFT energy (no corrections) -20.3 eV per formula unit.